[1]
# PmDyEr2P4

A geometry-optimized PmDyEr2P4 structure (PBE-GGA, Alexandria).

The calculation puts the density at 6.92 g/cm3. Its formation energy is -1.594 eV per atom.

Lattice parameters (Å, degrees): 4.0219 6.9619 6.9596 109.47 90.00 90.00
Last column: nearest neighbours and their distance in Å.
Atoms (fractional coordinates):
Pm  0.5000  0.5000  0.0000  6 P 2.88
Dy  0.0000  0.0000  0.0000  6 P 2.85
Er  0.5000  0.0000  0.5000  6 P 2.80-2.81
Er  0.0000  0.5000  0.5000  6 P 2.83
P  0.5000  0.2482  0.2549  3 Er 2.80-2.83, 2 Dy 2.85, 1 Pm 2.88
P  0.5000  0.7518  0.7451  3 Er 2.80-2.83, 2 Dy 2.85, 1 Pm 2.88
P  0.0000  0.2441  0.7425  3 Er 2.81-2.83, 1 Dy 2.85, 2 Pm 2.88
P  0.0000  0.7559  0.2575  3 Er 2.81-2.83, 1 Dy 2.85, 2 Pm 2.88

---

[2]
# CrRhBr2

A geometry-optimized CrRhBr2 structure (PBE-GGA, Alexandria).

Its energy above the lowest structure with this stoichiometry is 0.453 eV per atom. The energy relative to the elements, uncorrected is 36.9 kJ per mole of atoms. The calculation puts the density at 6.23 g/cm3.

Lattice parameters (Å, degrees): 6.5585 6.5585 6.5585 146.88 146.88 47.54
Last column: nearest neighbours and their distance in Å.
Atoms (fractional coordinates):
Br  0.0000  0.0000  0.0000  4 Cr 2.64
Br  0.2500  0.7500  0.5000  4 Rh 2.64
Cr  0.5000  0.5000  0.0000  4 Br 2.64
Rh  0.7500  0.2500  0.5000  4 Br 2.64

---

[3]
# ZnCd2Si

A geometry-optimized ZnCd2Si structure (PBE-GGA, Alexandria).

Its energy above the lowest structure with this stoichiometry is 0.006 eV per atom. The energy relative to the elements, uncorrected is 22.1 kJ per mole of atoms. The calculation puts the density at 6.69 g/cm3.

Lattice parameters (Å, degrees): 2.8004 3.7962 7.4305 90.00 90.00 90.00
Last column: nearest neighbours and their distance in Å.
Atoms (fractional coordinates):
Cd  0.0000  0.0000  0.9759  2 Cd 2.80, 4 Zn 3.06
Cd  0.5000  0.5000  0.2704  2 Cd 2.80, 4 Si 3.09
Si  0.0000  0.0000  0.5395  4 Zn 2.69, 2 Si 2.80
Zn  0.5000  0.5000  0.7141  4 Si 2.69, 2 Zn 2.80

---

[4]
# Sr6Li2Al

A geometry-optimized Sr6Li2Al structure (PBE-GGA, Alexandria).

The calculation puts the density at 2.55 g/cm3. Its formation energy is -0.020 eV per atom.

Lattice parameters (Å, degrees): 5.8208 7.7952 9.2459 83.25 71.65 68.08
Last column: nearest neighbours and their distance in Å.
Atoms (fractional coordinates):
Sr  0.9798  0.2184  0.8220  1 Al 3.48, 3 Li 3.55-3.64
Sr  0.3018  0.2184  0.1780  1 Al 3.48, 3 Li 3.55-3.64
Sr  0.6982  0.7816  0.8220  1 Al 3.48, 3 Li 3.55-3.64
Sr  0.3648  0.7704  0.5000  2 Al 3.51, 2 Li 3.53, 1 Sr 3.91
Sr  0.6352  0.2296  0.5000  2 Al 3.51, 2 Li 3.53, 1 Sr 3.91
Sr  0.0202  0.7816  0.1780  1 Al 3.48, 3 Li 3.55-3.64
Li  0.3328  0.5000  0.8345  8 Sr 3.53-3.64
Li  0.6672  0.5000  0.1655  8 Sr 3.53-3.64
Al  0.0000  0.5000  0.5000  8 Sr 3.48-3.51

---

[5]
# AcNpO2

A geometry-optimized AcNpO2 structure (PBE-GGA, Alexandria).

Its energy above the lowest structure with this stoichiometry is 0.760 eV per atom. The energy relative to the elements, uncorrected is -157.1 kJ per mole of atoms. The calculation puts the density at 12.58 g/cm3.

Lattice parameters (Å, degrees): 3.1885 3.1885 6.4398 90.00 90.00 90.00
Last column: nearest neighbours and their distance in Å.
Atoms (fractional coordinates):
Np  0.5000  0.5000  0.0000  8 O 2.78
Ac  0.5000  0.5000  0.5000  8 O 2.76
O  0.0000  0.0000  0.7477  4 Ac 2.76, 4 Np 2.78
O  0.0000  0.0000  0.2523  4 Ac 2.76, 4 Np 2.78

---

[6]
# Pm3PrNd2Te6

A geometry-optimized Pm3PrNd2Te6 structure (PBE-GGA, Alexandria).

The energy relative to the elements, uncorrected is -136.9 kJ per mole of atoms. The calculation puts the density at 7.06 g/cm3.

Lattice parameters (Å, degrees): 4.4638 9.0281 10.0280 102.96 102.86 90.00
Last column: nearest neighbours and their distance in Å.
Atoms (fractional coordinates):
Pm  0.5000  0.5000  0.0000  6 Te 3.15-3.16
Pm  0.8342  0.1669  0.6684  6 Te 3.15-3.17
Pm  0.1658  0.8331  0.3316  6 Te 3.15-3.17
Pr  0.5000  0.0000  0.0000  6 Te 3.20
Nd  0.8337  0.6673  0.6674  6 Te 3.17-3.19
Nd  0.1663  0.3327  0.3326  6 Te 3.17-3.19
Te  0.3318  0.9177  0.6635  3 Pm 3.16, 2 Nd 3.18, 1 Pr 3.20
Te  0.6663  0.5847  0.3326  3 Pm 3.16-3.17, 3 Nd 3.19
Te  0.6682  0.0823  0.3365  3 Pm 3.16, 2 Nd 3.18, 1 Pr 3.20
Te  0.9996  0.2533  0.9993  3 Pm 3.15, 1 Nd 3.17, 2 Pr 3.20
Te  0.0004  0.7467  0.0007  3 Pm 3.15, 1 Nd 3.17, 2 Pr 3.20
Te  0.3337  0.4153  0.6674  3 Pm 3.16-3.17, 3 Nd 3.19